Entry 1:
# Hf2MgAsP, optimized geometry, DFT GGA-PBE
# calculated formation energy	0.148	eV/atom
# density of states at the Fermi level	4.92	states/eV/cell
data_Hf2MgAsP
_cell_length_a 4.839
_cell_length_b 4.839
_cell_length_c 4.985
_cell_angle_alpha 90.00
_cell_angle_beta 90.00
_cell_angle_gamma 90.00
_symmetry_space_group_name_H-M 'P 4/m m m'
_symmetry_Int_Tables_number 123
_symmetry_space_group_name_Hall '-P 4 2'
loop_
_atom_site_label
_atom_site_fract_x
_atom_site_fract_y
_atom_site_fract_z
Hf1 0.000 0.500 0.000
Mg1 0.000 0.000 0.500
As1 0.500 0.500 0.500
P1 0.500 0.500 0.000

Entry 2:
# Ba2ZnAsN, optimized geometry, DFT GGA-PBE
# ΔE to the lowest computed polymorph	0.000	eV per atom
# uncorrected formation energy	-0.730	eV/atom
data_Ba2ZnAsN
_cell_length_a 7.222
_cell_length_b 4.234
_cell_length_c 9.298
_cell_angle_alpha 90.00
_cell_angle_beta 108.51
_cell_angle_gamma 90.00
_symmetry_space_group_name_H-M 'P 1 21/m 1'
_symmetry_Int_Tables_number 11
_symmetry_space_group_name_Hall '-P 2yb'
loop_
_atom_site_label
_atom_site_fract_x
_atom_site_fract_y
_atom_site_fract_z
Ba1 0.188 0.250 0.380
Ba2 0.208 0.250 0.964
Zn1 0.460 0.750 0.248
As1 0.337 0.750 0.699
N1 0.176 0.750 0.172